A relaxed NiRuBr6 crystal, computed with PBE-GGA.

a = 7.3573 Å, b = 11.2149 Å, c = 7.2242 Å
α = 90.00°, β = 117.99°, γ = 90.00°
With the nearest neighbours (Å) after each atom.
Space group C2/m (No. 12)
Inequivalent atoms, fractional coordinates:
Ni 0.0000 0.0000 0.0000 [2 per cell]  4 Br 2.32
Ru 0.0000 0.0000 0.5000 [2 per cell]  6 Br 2.44-2.54
Br 0.0090 0.1449 0.2334 [8 per cell]  1 Ni 2.32, 1 Ru 2.54
Br 0.1247 0.5000 0.3106 [4 per cell]  1 Ru 2.44

Computed properties:
* formation energy without anion corrections: -0.225 eV/atom
* DFT total energy: -3.36 eV per atom